Record 1
CdGaSn3 at its PBEsol-relaxed geometry. Source: Alexandria via LeMat-Bulk, functional meta-GGA SCAN. Values from VASP.

Calculated values
* ΔE_f: 0.50 eV per atom
* D(E_F): 0.545 states/eV/atom

```
&SYSTEM
  ibrav = 0, nat = 5, ntyp = 3
/
ATOMIC_SPECIES
Cd 112.41 Cd.upf
Ga 69.72 Ga.upf
Sn 118.71 Sn.upf
CELL_PARAMETERS angstrom
5.250 0.000 0.000
0.000 5.250 0.000
0.000 0.000 5.250
ATOMIC_POSITIONS angstrom
Cd 0.000 0.000 0.000
Ga 2.625 2.625 2.625
Sn 0.000 2.625 2.625
Sn 2.625 0.000 2.625
Sn 2.625 2.625 0.000
```

Record 2
BeNiIr2 at its PBEsol-relaxed geometry. Source: Alexandria via LeMat-Bulk, functional meta-GGA SCAN. Values from VASP.

Calculated values
* ΔE_f: -0.29 eV per atom
* D(E_F): 1.032 states/eV/atom

```
&SYSTEM
  ibrav = 0, nat = 4, ntyp = 3
/
ATOMIC_SPECIES
Be 9.01 Be.upf
Ni 58.69 Ni.upf
Ir 192.22 Ir.upf
CELL_PARAMETERS angstrom
2.766 0.000 0.000
0.000 2.766 0.000
0.000 0.000 6.009
ATOMIC_POSITIONS angstrom
Be 0.000 0.000 0.000
Ni 0.000 0.000 3.004
Ir 1.383 1.383 1.354
Ir 1.383 1.383 4.655
```

Record 3
Fe2CuHg at its PBEsol-relaxed geometry. Source: Alexandria via LeMat-Bulk, functional meta-GGA SCAN. Values from VASP.

Calculated values
* ΔE_f: 0.26 eV per atom
* D(E_F): 0.545 states/eV/atom
* offset from the most stable computed form: 0 meV/atom

```
&SYSTEM
  ibrav = 0, nat = 8, ntyp = 3
/
ATOMIC_SPECIES
Fe 55.84 Fe.upf
Cu 63.55 Cu.upf
Hg 200.59 Hg.upf
CELL_PARAMETERS angstrom
3.832 0.000 0.000
0.000 3.832 0.000
0.000 0.000 7.258
ATOMIC_POSITIONS angstrom
Fe 0.000 0.000 0.000
Fe 0.000 1.916 1.814
Fe 1.916 0.000 5.443
Fe 1.916 1.916 3.629
Cu 0.000 1.916 5.443
Cu 1.916 0.000 1.814
Hg 0.000 0.000 3.629
Hg 1.916 1.916 0.000
```

Record 4
TaInCu at its PBEsol-relaxed geometry. Source: Alexandria via LeMat-Bulk, functional meta-GGA SCAN. Values from VASP.

Calculated values
* ΔE_f: 0.08 eV per atom
* D(E_F): 0.351 states/eV/atom

```
&SYSTEM
  ibrav = 0, nat = 6, ntyp = 3
/
ATOMIC_SPECIES
Ta 180.95 Ta.upf
In 114.82 In.upf
Cu 63.55 Cu.upf
CELL_PARAMETERS angstrom
2.948 0.000 0.000
0.000 2.948 0.000
0.000 0.000 11.308
ATOMIC_POSITIONS angstrom
Ta 0.000 0.000 0.000
Ta 1.474 1.474 5.654
In 0.000 0.000 3.482
In 1.474 1.474 9.137
Cu 0.000 0.000 7.355
Cu 1.474 1.474 1.701
```

Record 5
RbSnGe3 at its PBEsol-relaxed geometry. Source: Alexandria via LeMat-Bulk, functional meta-GGA SCAN. Values from VASP.

Calculated values
* ΔE_f: 1.79 eV per atom
* D(E_F): 1.161 states/eV/atom

```
&SYSTEM
  ibrav = 0, nat = 5, ntyp = 3
/
ATOMIC_SPECIES
Rb 85.47 Rb.upf
Sn 118.71 Sn.upf
Ge 72.64 Ge.upf
CELL_PARAMETERS angstrom
5.457 0.000 0.000
0.000 5.457 0.000
0.000 0.000 5.457
ATOMIC_POSITIONS angstrom
Rb 0.000 0.000 0.000
Sn 2.728 2.728 2.728
Ge 0.000 0.000 2.728
Ge 0.000 2.728 0.000
Ge 2.728 0.000 0.000
```

Record 6
IrOsW2 at its PBEsol-relaxed geometry. Source: Alexandria via LeMat-Bulk, functional meta-GGA SCAN. Values from VASP.

Calculated values
* ΔE_f: -0.15 eV per atom
* D(E_F): 0.769 states/eV/atom
* offset from the most stable computed form: 8 meV/atom

```
&SYSTEM
  ibrav = 0, nat = 8, ntyp = 3
/
ATOMIC_SPECIES
Ir 192.22 Ir.upf
Os 190.23 Os.upf
W 183.84 W.upf
CELL_PARAMETERS angstrom
5.521 0.000 0.000
0.000 7.778 0.000
0.000 0.000 2.753
ATOMIC_POSITIONS angstrom
Ir 0.000 0.000 0.000
Ir 2.761 3.889 0.000
Os 0.000 3.889 0.000
Os 2.761 0.000 0.000
W 1.380 1.944 1.376
W 1.380 5.833 1.376
W 4.141 1.944 1.376
W 4.141 5.833 1.376
```

Record 7
BRhSe2Br at its PBEsol-relaxed geometry. Source: Alexandria via LeMat-Bulk, functional meta-GGA SCAN. Values from VASP.

Calculated values
* formation energy from raw total energies: 1088 meV per atom
* D(E_F): 1.014 states/eV/atom

```
&SYSTEM
  ibrav = 0, nat = 5, ntyp = 4
/
ATOMIC_SPECIES
B 10.81 B.upf
Rh 102.91 Rh.upf
Se 78.96 Se.upf
Br 79.90 Br.upf
CELL_PARAMETERS angstrom
4.385 0.000 0.000
0.000 4.385 0.000
0.000 0.000 4.328
ATOMIC_POSITIONS angstrom
B 0.000 0.000 0.000
Rh 2.192 2.192 2.164
Se 0.000 2.192 0.000
Se 2.192 0.000 0.000
Br 0.000 0.000 2.164
```

Record 8
Ta2AgAu at its PBEsol-relaxed geometry. Source: Alexandria via LeMat-Bulk, functional meta-GGA SCAN. Values from VASP.

Calculated values
* ΔE_f: 0.37 eV per atom
* D(E_F): 0.832 states/eV/atom
* offset from the most stable computed form: 346 meV/atom

```
&SYSTEM
  ibrav = 0, nat = 16, ntyp = 3
/
ATOMIC_SPECIES
Ta 180.95 Ta.upf
Ag 107.87 Ag.upf
Au 196.97 Au.upf
CELL_PARAMETERS angstrom
6.513 0.000 0.000
0.000 6.513 0.000
0.000 0.000 6.513
ATOMIC_POSITIONS angstrom
Ta 1.628 1.628 1.628
Ta 1.628 1.628 4.885
Ta 1.628 4.885 1.628
Ta 1.628 4.885 4.885
Ta 4.885 1.628 1.628
Ta 4.885 1.628 4.885
Ta 4.885 4.885 1.628
Ta 4.885 4.885 4.885
Ag 0.000 0.000 0.000
Ag 0.000 3.257 3.257
Ag 3.257 0.000 3.257
Ag 3.257 3.257 0.000
Au 0.000 0.000 3.257
Au 0.000 3.257 0.000
Au 3.257 0.000 0.000
Au 3.257 3.257 3.257
```